A geometry-optimized MnPPb2 structure. Source: Alexandria via LeMat-Bulk, functional GGA-PBE.

```
MnPPb2
1.0
-3.729 -5.610 -3.829
-0.398 -7.253 -2.697
-3.368 -6.975 -0.212
Pb Mn P
2 1 1
direct
0.746 0.746 0.746
0.254 0.254 0.254
0.500 0.500 0.500
0.000 0.000 0.000
```

Results
As for the total magnetization: 4.0 μB per formula unit. The crystal system is trigonal. The formation enthalpy at 0 K is 0.46 eV/atom. As for the space group: No. 166.